No. 1
Computed, not measured: Y3NiGe3 after structural relaxation at the PBE level of DFT.

```
Y3NiGe3
1.0
5.290 -2.121 0.000
5.290 2.121 0.000
-4.800 0.000 13.030
Y Ni Ge
6 2 6
Direct
0.031 0.031 0.382
0.098 0.098 0.921
0.246 0.246 0.229
0.754 0.754 0.771
0.902 0.902 0.079
0.969 0.969 0.618
0.255 0.255 0.601
0.745 0.745 0.399
0.356 0.356 0.456
0.375 0.375 0.923
0.459 0.459 0.762
0.541 0.541 0.238
0.625 0.625 0.077
0.644 0.644 0.544
```

## Properties
Crystal system   monoclinic
Formation energy   -0.86 eV/atom

No. 2
Computed, not measured: YNi3Ge after structural relaxation at the PBE level of DFT.

```
YNi3Ge
1.0
4.407 0.000 0.000
0.000 4.407 0.000
0.000 0.000 4.407
Y Ni Ge
1 3 1
Direct
0.000 0.000 0.000
0.000 0.500 0.500
0.500 0.000 0.500
0.500 0.500 0.000
0.500 0.500 0.500
```

## Properties
Crystal system   cubic
Formation energy   -0.11 eV/atom